Pm2Ag3Hg3O12: optimized geometry, GGA-PBE.

Properties
The space group is Ia-3d, No. 230. For the total moment, the calculation gives 16.36 Bohr magnetons per cell. The value obtained for the calculated total energy is -351.2 eV per cell. As for the calculated density: 8.02 Mg/m³. The volume is 1165.1 Å³ per cell.

Lattice parameters (Å, degrees): 11.481 11.481 11.481 109.47 109.47 109.47
Sites, in units of the cell vectors:
O 0.677 0.625 0.739
O 0.739 0.061 0.613
O 0.323 0.375 0.261
O 0.677 0.552 0.939
O 0.261 0.939 0.387
O 0.061 0.823 0.948
O 0.387 0.125 0.948
O 0.125 0.387 0.448
O 0.239 0.613 0.061
O 0.948 0.887 0.625
O 0.125 0.239 0.677
O 0.439 0.887 0.261
O 0.823 0.261 0.375
O 0.448 0.323 0.561
O 0.625 0.677 0.239
O 0.323 0.448 0.061
O 0.261 0.823 0.875
O 0.939 0.177 0.052
O 0.052 0.113 0.375
O 0.052 0.439 0.677
O 0.939 0.261 0.887
O 0.177 0.739 0.625
O 0.875 0.761 0.323
O 0.239 0.125 0.177
O 0.387 0.761 0.439
O 0.561 0.948 0.823
O 0.552 0.375 0.113
O 0.625 0.448 0.387
O 0.875 0.613 0.552
O 0.561 0.113 0.739
O 0.887 0.948 0.125
O 0.761 0.387 0.939
O 0.823 0.061 0.448
O 0.613 0.875 0.052
O 0.948 0.561 0.323
O 0.887 0.439 0.761
O 0.177 0.939 0.552
O 0.375 0.323 0.761
O 0.448 0.625 0.887
O 0.739 0.177 0.125
O 0.439 0.052 0.177
O 0.375 0.552 0.613
O 0.613 0.239 0.561
O 0.761 0.875 0.823
O 0.113 0.052 0.875
O 0.552 0.677 0.439
O 0.061 0.739 0.113
O 0.113 0.561 0.239
Ag 0.125 0.750 0.375
Ag 0.750 0.125 0.875
Ag 0.250 0.875 0.125
Ag 0.875 0.125 0.250
Ag 0.750 0.625 0.375
Ag 0.375 0.625 0.250
Ag 0.625 0.375 0.750
Ag 0.375 0.250 0.125
Ag 0.875 0.250 0.625
Ag 0.250 0.375 0.625
Ag 0.625 0.750 0.875
Ag 0.125 0.875 0.750
Pm 0.500 0.500 0.500
Pm 0.000 0.000 0.500
Pm 0.500 0.000 0.500
Pm 0.000 0.500 0.500
Pm 0.500 0.500 0.000
Pm 0.000 0.500 0.000
Pm 0.000 0.000 0.000
Pm 0.500 0.000 0.000
Hg 0.875 0.625 0.750
Hg 0.875 0.750 0.125
Hg 0.250 0.125 0.375
Hg 0.750 0.375 0.125
Hg 0.250 0.625 0.875
Hg 0.125 0.375 0.250
Hg 0.125 0.250 0.875
Hg 0.375 0.125 0.750
Hg 0.625 0.875 0.250
Hg 0.625 0.250 0.375
Hg 0.375 0.750 0.625
Hg 0.750 0.875 0.625